## w
The following is a DFT calculation (PBE) of an optimized crystal structure of BaSr2LiPt.

Properties
Fermi-level density of states ... 3.39 states/eV/cell
Space group ... No. 123

a = 5.981 Å, b = 5.981 Å, c = 6.210 Å
α = 90.00°, β = 90.00°, γ = 90.00°
Fractional coordinates of all 5 atoms:
Ba: 0.000 0.000 0.000
Sr: 0.000 0.500 0.500
Sr: 0.500 0.000 0.500
Li: 0.500 0.500 0.000
Pt: 0.000 0.000 0.500


## x
The following is a DFT calculation (PBE) of an optimized crystal structure of BaSr2LiPt.

Properties
Fermi-level density of states ... 5.02 states/eV/cell
Space group ... No. 123

a = 5.969 Å, b = 5.969 Å, c = 5.442 Å
α = 90.00°, β = 90.00°, γ = 90.00°
Fractional coordinates of all 5 atoms:
Ba: 0.000 0.000 0.000
Sr: 0.000 0.500 0.500
Sr: 0.500 0.000 0.500
Li: 0.500 0.500 0.000
Pt: 0.500 0.500 0.500


How do the energies compare? Relative to the most stable structure, in eV/atom: w 0.000; x 0.120.


## w
The following is a DFT calculation (PBE) of an optimized crystal structure of Ba2SrLiPt.

Properties
Fermi-level density of states ... 3.30 states/eV/cell
Space group ... No. 123

a = 6.243 Å, b = 6.243 Å, c = 6.001 Å
α = 90.00°, β = 90.00°, γ = 90.00°
Fractional coordinates of all 5 atoms:
Ba: 0.000 0.500 0.000
Ba: 0.500 0.000 0.000
Sr: 0.000 0.000 0.500
Li: 0.500 0.500 0.500
Pt: 0.000 0.000 0.000


## x
The following is a DFT calculation (PBE) of an optimized crystal structure of Ba2SrLiPt.

Properties
Fermi-level density of states ... 5.51 states/eV/cell
Space group ... No. 123

a = 6.268 Å, b = 6.268 Å, c = 5.367 Å
α = 90.00°, β = 90.00°, γ = 90.00°
Fractional coordinates of all 5 atoms:
Ba: 0.000 0.500 0.000
Ba: 0.500 0.000 0.000
Sr: 0.000 0.000 0.500
Li: 0.500 0.500 0.500
Pt: 0.500 0.500 0.000


How do the energies compare? Relative to the most stable structure, in eV/atom: w 0.000; x 0.130.